No. 1
RbRu2S2 | Alexandria via LeMat-Bulk | GGA-PBE | relaxed; formation energy from raw total energies = -0.577 eV/atom; total energy = -30.658 eV per cell; density of states at the Fermi level = 0.95 states/eV per cell
1.0
-3.815 1.088 0.010
0.050 0.212 -3.961
0.064 -7.020 1.611
Rb S Ru
1 2 2
direct
0.000 0.000 0.000
0.342 0.342 0.685
0.658 0.658 0.315
0.750 0.250 0.500
0.250 0.750 0.500

---

No. 2
RbRu2S | Alexandria via LeMat-Bulk | GGA-PBE | relaxed; formation energy from raw total energies = 0.469 eV/atom; total energy = -43.538 eV per cell; density of states at the Fermi level = 7.05 states/eV per cell
1.0
-1.210 -0.201 4.774
3.668 -3.195 0.795
6.247 4.444 4.316
S Ru Rb
2 4 2
direct
0.500 0.500 0.000
0.250 0.750 0.500
0.375 0.125 0.250
0.375 0.625 0.250
0.875 0.625 0.750
0.375 0.625 0.750
0.000 0.000 0.000
0.750 0.250 0.500